The following is a GGA-PBE calculation of an optimized crystal structure of MgAg3, from Alexandria via LeMat-Bulk.

Computed properties:
**Energy of formation from the pure elements**: -15 kJ/mol of atoms
**DFT total energy**: -2.6960 eV/atom
**Energy relative to the lowest polymorph listed for this composition**: 0.004 eV/atom
**Volume**: 143.8 Å³ per cell

Lattice parameters (Å, degrees): 4.8052 5.9070 5.0673 90.00 90.00 90.00
Last column: nearest neighbours and their distance in Å.
Space group Pmmn (No. 59, origin choice 2)
Symmetry-distinct sites (fractional):
1 Mg 0.2500 0.2500 0.1686 (multiplicity 2)  12 Ag 2.92-2.96
2 Ag 0.2500 0.5005 0.6707 (multiplicity 4)  4 Mg 2.92-2.94, 8 Ag 2.92-2.96
3 Ag 0.2500 0.7500 0.1721 (multiplicity 2)  8 Ag 2.92-2.94, 4 Mg 2.95-2.96

The following is a GGA-PBE calculation of an optimized crystal structure of TlAg6F12, from Alexandria via LeMat-Bulk.

Computed properties:
**DFT total energy**: -3.4598 eV/atom
**ΔE_f (raw)**: -1253 meV per atom
**Volume**: 918.8 Å³ per cell

Lattice parameters (Å, degrees): 10.3002 10.3002 10.0000 90.00 90.00 120.00
Last column: nearest neighbours and their distance in Å.
Space group R-3 (No. 148, hexagonal axes)
Symmetry-distinct sites (fractional):
1 Tl 0.0000 0.0000 0.0000 (multiplicity 3)  6 F 2.21
2 Ag 0.0334 0.7824 0.6517 (multiplicity 18)  4 F 2.20-2.41
3 F 0.0128 0.7965 0.3853 (multiplicity 18)  2 Ag 2.20-2.23
4 F 0.0152 0.8278 0.8811 (multiplicity 18)  1 Tl 2.21, 2 Ag 2.37-2.41

The following is a GGA-PBE calculation of an optimized crystal structure of Na4U3IrS8, from Alexandria via LeMat-Bulk.

Computed properties:
**DFT total energy**: -6.2016 eV/atom
**ΔE_f (raw)**: -1138 meV per atom
**Volume**: 701.0 Å³ per cell

Lattice parameters (Å, degrees): 13.6008 7.4616 8.1375 90.00 121.91 90.00
Last column: nearest neighbours and their distance in Å.
Space group C2/m (No. 12)
Symmetry-distinct sites (fractional):
1 Na 0.0000 0.0000 0.0000 (multiplicity 2)  2 S 2.66
2 Na 0.0000 0.5000 0.0000 (multiplicity 2)  6 S 2.85-3.03
3 Na 0.2500 0.2500 0.0000 (multiplicity 4)  6 S 2.80-3.05
4 U 0.0000 0.0000 0.5000 (multiplicity 2)  6 S 2.72-2.76
5 U 0.2500 0.2500 0.5000 (multiplicity 4)  6 S 2.69-2.78
6 Ir 0.0000 0.5000 0.5000 (multiplicity 2)  4 S 2.43
7 S 0.0101 0.2760 0.2918 (multiplicity 8)  1 Ir 2.43, 1 U 2.72
8 S 0.2284 0.0000 0.2455 (multiplicity 4)  3 Na 2.66-2.86, 2 U 2.69
9 S 0.2383 0.0000 0.7339 (multiplicity 4)  3 U 2.73-2.76, 3 Na 2.80-3.03

Number 1: magnetization 0.0 μB per formula unit. Number 2: magnetization 3.2 μB per formula unit. Number 3: magnetization 7.0 μB per formula unit.